DyY5Sc2, optimized geometry, DFT PBE; V = 244.6 Å³/f.u.; polymorph energy (0 for the lowest one) = 10.7 kJ/mol of atoms; ΔE_f = 0.138 eV per atom
1.0
2.6799 -5.8154 0.0000
2.6799 5.8154 0.0000
0.0000 0.0000 15.6935
Dy Y Sc
2 10 4
Direct
0.2465 0.7535 0.7500
0.7535 0.2465 0.2500
0.0305 0.9695 0.2500
0.1403 0.8597 0.5399
0.1403 0.8597 0.9601
0.4418 0.5582 0.5997
0.4418 0.5582 0.9003
0.5582 0.4418 0.0997
0.5582 0.4418 0.4003
0.8597 0.1403 0.0399
0.8597 0.1403 0.4601
0.9695 0.0305 0.7500
0.2752 0.7248 0.1440
0.2752 0.7248 0.3560
0.7248 0.2752 0.6440
0.7248 0.2752 0.8560

SiHg5, optimized geometry, DFT PBE; formation energy (no corrections) = 0.448 eV/atom; V = 153.5 Å³/f.u.; polymorph energy (0 for the lowest one) = 27.5 kJ/mol of atoms
1.0
0.0000 4.2498 4.2498
4.2498 0.0000 4.2498
4.2498 4.2498 0.0000
Si Hg
1 5
Direct
0.0000 0.0000 0.0000
0.3748 0.3748 0.3748
0.3748 0.3748 0.8756
0.3748 0.8756 0.3748
0.7500 0.7500 0.7500
0.8756 0.3748 0.3748

RbMn3Os, optimized geometry, DFT PBE; V = 102.5 Å³/f.u.; polymorph energy (0 for the lowest one) = 178.8 kJ/mol of atoms; ΔE_f = 2.913 eV per atom
1.0
4.6796 0.0000 0.0000
0.0000 4.6796 0.0000
0.0000 0.0000 4.6796
Rb Mn Os
1 3 1
Direct
0.0000 0.0000 0.0000
0.0000 0.0000 0.5000
0.0000 0.5000 0.0000
0.5000 0.0000 0.0000
0.5000 0.5000 0.5000

SmSc2Au4, optimized geometry, DFT PBE; V = 159.5 Å³/f.u.; ΔE_f = -0.548 eV per atom
1.0
4.8495 0.0000 0.0000
0.0000 4.8495 0.0000
0.0000 0.0000 6.7801
Sm Sc Au
1 2 4
Direct
0.0000 0.0000 0.0000
0.0000 0.0000 0.5000
0.5000 0.5000 0.0000
0.0000 0.5000 0.2689
0.0000 0.5000 0.7311
0.5000 0.0000 0.2689
0.5000 0.0000 0.7311

Sr5MgIn4, optimized geometry, DFT PBE; V = 343.2 Å³/f.u.; ΔE_f = -0.359 eV per atom
1.0
4.1173 0.0000 0.0000
0.0000 4.1173 0.0000
0.0000 0.0000 20.2435
Sr Mg In
5 1 4
Direct
0.0000 0.0000 0.0000
0.0000 0.0000 0.1977
0.0000 0.0000 0.3938
0.0000 0.0000 0.6062
0.0000 0.0000 0.8023
0.5000 0.5000 0.5000
0.5000 0.5000 0.0995
0.5000 0.5000 0.2960
0.5000 0.5000 0.7040
0.5000 0.5000 0.9005

BaLa2Rh, optimized geometry, DFT PBE; V = 164.6 Å³/f.u.; polymorph energy (0 for the lowest one) = 9.4 kJ/mol of atoms; ΔE_f = -0.318 eV per atom
1.0
2.0732 1.1970 11.0534
-2.0732 1.1970 11.0534
0.0000 -2.3940 11.0534
Ba La Rh
1 2 1
Direct
0.0000 0.0000 0.0000
0.1192 0.1192 0.1192
0.8808 0.8808 0.8808
0.5000 0.5000 0.5000

La2BrCl, optimized geometry, DFT PBE; formation energy (no corrections) = -0.545 eV/atom; V = 123.0 Å³/f.u.; polymorph energy (0 for the lowest one) = 84.6 kJ/mol of atoms
1.0
0.0000 3.9469 3.9469
3.9469 0.0000 3.9469
3.9469 3.9469 0.0000
La Br Cl
2 1 1
Direct
0.0000 0.0000 0.0000
0.2500 0.2500 0.2500
0.7500 0.7500 0.7500
0.5000 0.5000 0.5000

KAlAgSb2, optimized geometry, DFT PBE; formation energy (no corrections) = -0.129 eV/atom; V = 160.8 Å³/f.u.
1.0
3.3441 -6.2173 0.0000
3.3441 6.2173 0.0000
0.0000 0.0000 7.7356
K Al Ag Sb
2 2 2 4
Direct
0.2500 0.7500 0.7555
0.7500 0.2500 0.2445
0.2500 0.2500 0.0000
0.7500 0.7500 0.0000
0.0000 0.0000 0.5000
0.5000 0.5000 0.5000
0.1161 0.8839 0.2062
0.3839 0.6161 0.2062
0.6161 0.3839 0.7938
0.8839 0.1161 0.7938

TlAgGeHSe, optimized geometry, DFT PBE; V = 126.0 Å³/f.u.; polymorph energy (0 for the lowest one) = 10.2 kJ/mol of atoms
1.0
5.8042 0.0000 0.0000
0.0000 3.6969 0.0000
-0.1974 0.0000 5.8741
Tl Ag Ge H Se
1 1 1 1 1
Direct
0.0000 0.0000 0.0000
0.7116 0.5000 0.7270
0.1971 0.5000 0.3755
0.9429 0.5000 0.4997
0.3645 0.0000 0.6513

Mo3OsCl, optimized geometry, DFT PBE; formation energy (no corrections) = 1.837 eV/atom; V = 111.9 Å³/f.u.; polymorph energy (0 for the lowest one) = 55.4 kJ/mol of atoms
1.0
4.8185 0.0000 0.0000
0.0000 4.8185 0.0000
0.0000 0.0000 4.8185
Mo Os Cl
3 1 1
Direct
0.0000 0.0000 0.5000
0.0000 0.5000 0.0000
0.5000 0.0000 0.0000
0.0000 0.0000 0.0000
0.5000 0.5000 0.5000

InFeB3, optimized geometry, DFT PBE; V = 83.1 Å³/f.u.; polymorph energy (0 for the lowest one) = 190.8 kJ/mol of atoms; ΔE_f = 2.878 eV per atom
1.0
4.3636 0.0000 0.0000
0.0000 4.3636 0.0000
0.0000 0.0000 4.3636
In Fe B
1 1 3
Direct
0.0000 0.0000 0.0000
0.5000 0.5000 0.5000
0.0000 0.0000 0.5000
0.0000 0.5000 0.0000
0.5000 0.0000 0.0000

AgPd2Au6, optimized geometry, DFT PBE; V = 161.9 Å³/f.u.; polymorph energy (0 for the lowest one) = 0.0 kJ/mol of atoms; ΔE_f = 0.011 eV per atom
1.0
4.8765 -3.9488 0.0000
4.8765 3.9488 0.0000
-2.3829 0.0000 4.2029
Ag Pd Au
1 2 6
Direct
0.0000 0.0000 0.0000
0.3333 0.3333 0.3333
0.6667 0.6667 0.6667
0.1501 0.5122 0.8312
0.1879 0.8121 0.5000
0.4878 0.8499 0.1688
0.5122 0.1501 0.8312
0.8121 0.1879 0.5000
0.8499 0.4878 0.1688

Ac5La2Pb5, optimized geometry, DFT PBE; V = 498.8 Å³/f.u.; ΔE_f = -0.417 eV per atom
1.0
7.9756 -2.3899 0.0000
7.9756 2.3899 0.0000
-4.5744 0.0000 13.0856
Ac La Pb
5 2 5
Direct
0.0000 0.0000 0.0000
0.1611 0.1611 0.5429
0.2332 0.2332 0.8501
0.7668 0.7668 0.1499
0.8389 0.8389 0.4571
0.4501 0.4501 0.7105
0.5499 0.5499 0.2895
0.1924 0.1924 0.2918
0.3874 0.3874 0.0804
0.5000 0.5000 0.5000
0.6126 0.6126 0.9196
0.8076 0.8076 0.7082

NbAgTe2N, optimized geometry, DFT PBE; formation energy (no corrections) = 0.215 eV/atom; V = 122.6 Å³/f.u.; polymorph energy (0 for the lowest one) = 0.0 kJ/mol of atoms
1.0
5.6027 0.0000 0.0000
0.0000 5.6027 0.0000
0.0000 0.0000 3.9065
Nb Ag Te N
1 1 2 1
Direct
0.0000 0.0000 0.0000
0.5000 0.5000 0.5000
0.0000 0.5000 0.0000
0.5000 0.0000 0.0000
0.0000 0.0000 0.5000

Sm4Al3In, optimized geometry, DFT PBE; V = 206.0 Å³/f.u.; polymorph energy (0 for the lowest one) = 0.0 kJ/mol of atoms; ΔE_f = -0.400 eV per atom
1.0
3.7000 0.0000 0.0000
0.0000 3.7000 0.0000
0.0000 0.0000 15.0493
Sm Al In
4 3 1
Direct
0.0000 0.0000 0.1210
0.0000 0.0000 0.3653
0.0000 0.0000 0.6347
0.0000 0.0000 0.8790
0.5000 0.5000 0.0000
0.5000 0.5000 0.2432
0.5000 0.5000 0.7568
0.5000 0.5000 0.5000

Ba2Ge2W, optimized geometry, DFT PBE; V = 149.8 Å³/f.u.; polymorph energy (0 for the lowest one) = 22.4 kJ/mol of atoms; ΔE_f = 1.036 eV per atom
1.0
9.6675 0.0000 0.0000
0.0000 9.6675 0.0000
0.0000 0.0000 3.2050
Ba Ge W
4 4 2
Direct
0.1326 0.3674 0.0000
0.3674 0.8674 0.0000
0.6326 0.1326 0.0000
0.8674 0.6326 0.0000
0.1688 0.6688 0.5000
0.3312 0.1688 0.5000
0.6688 0.8312 0.5000
0.8312 0.3312 0.5000
0.0000 0.0000 0.0000
0.5000 0.5000 0.0000

K2TlAg, optimized geometry, DFT PBE; V = 166.5 Å³/f.u.; polymorph energy (0 for the lowest one) = 3.2 kJ/mol of atoms; ΔE_f = 0.003 eV per atom
1.0
5.6658 -3.4109 0.0000
5.6658 3.4109 0.0000
-1.9244 0.0000 4.3072
K Tl Ag
2 1 1
Direct
0.1949 0.1949 0.1957
0.8051 0.8051 0.8043
0.4924 0.5076 0.0000
0.7295 0.2705 0.5000

Be2AuBr, optimized geometry, DFT PBE; formation energy (no corrections) = 0.146 eV/atom; V = 80.2 Å³/f.u.; polymorph energy (0 for the lowest one) = 28.2 kJ/mol of atoms
1.0
3.2842 0.0000 0.0000
0.0000 3.2842 0.0000
0.0000 0.0000 7.4336
Be Au Br
2 1 1
Direct
0.0000 0.0000 0.0000
0.5000 0.5000 0.2724
0.5000 0.5000 0.9729
0.0000 0.0000 0.4054

Np2HgP, optimized geometry, DFT PBE; V = 89.7 Å³/f.u.; ΔE_f = -0.227 eV per atom
1.0
3.4292 0.0000 0.0000
0.0000 3.4292 0.0000
0.0000 0.0000 7.6300
Np Hg P
2 1 1
Direct
0.0000 0.0000 0.2032
0.0000 0.0000 0.7968
0.5000 0.5000 0.5000
0.5000 0.5000 0.0000

Ba2In4Hg3Sb, optimized geometry, DFT PBE; formation energy (no corrections) = -0.378 eV/atom; V = 308.6 Å³/f.u.
1.0
5.0824 0.0000 0.0000
0.0000 5.0824 0.0000
0.0000 0.0000 11.9458
Ba In Hg Sb
2 4 3 1
Direct
0.0000 0.5000 0.2483
0.5000 0.0000 0.7517
0.0000 0.0000 0.5000
0.0000 0.5000 0.8646
0.5000 0.0000 0.1354
0.5000 0.5000 0.5000
0.0000 0.0000 0.0000
0.0000 0.5000 0.6283
0.5000 0.0000 0.3717
0.5000 0.5000 0.0000

SrLiYO3, optimized geometry, DFT PBE; formation energy (no corrections) = -2.809 eV/atom; V = 86.3 Å³/f.u.
1.0
7.1320 0.0000 0.0000
0.0000 3.4190 0.0000
-1.5042 0.0000 7.0761
Sr Li Y O
2 2 2 6
Direct
0.2260 0.2500 0.1829
0.7740 0.7500 0.8171
0.4105 0.7500 0.9187
0.5895 0.2500 0.0813
0.1787 0.2500 0.6609
0.8213 0.7500 0.3391
0.1383 0.7500 0.8661
0.1583 0.7500 0.4377
0.4872 0.2500 0.8174
0.5128 0.7500 0.1826
0.8417 0.2500 0.5623
0.8617 0.2500 0.1339

Eu2LuCd, optimized geometry, DFT PBE; V = 127.5 Å³/f.u.; polymorph energy (0 for the lowest one) = 7.6 kJ/mol of atoms; ΔE_f = 0.004 eV per atom
1.0
0.0000 3.9950 3.9950
3.9950 0.0000 3.9950
3.9950 3.9950 0.0000
Eu Lu Cd
2 1 1
Direct
0.2500 0.2500 0.2500
0.7500 0.7500 0.7500
0.0000 0.0000 0.0000
0.5000 0.5000 0.5000